Entry 1:
Compound: Pa2Mn2Zn15
Source: Alexandria
Functional: PBE
Structure: optimized geometry

Lattice parameters (Å, degrees): 8.9661 8.9661 13.0293 90.00 90.00 120.00
Space group R-3m (No. 166, hexagonal axes)
Inequivalent atoms, fractional coordinates:
Pa1 0.0000 0.0000 0.1672 (multiplicity 6)
Mn1 0.0000 0.0000 0.3963 (multiplicity 6)
Zn1 0.0000 0.2855 0.5000 (multiplicity 18)
Zn2 0.0000 0.5000 0.0000 (multiplicity 9)
Zn3 0.0066 0.5033 0.6474 (multiplicity 18)

Calculated values
**DFT total energy**: -0.2232 Ry per atom
**DFT formation energy**: -0.067 eV/atom
**Theoretical density**: 8.5 Mg/m³

=====

Entry 2:
Compound: PaMnZn11
Source: Alexandria
Functional: PBE
Structure: optimized geometry

Lattice parameters (Å, degrees): 5.203 12.591 6.776 90.00 112.45 90.00
Space group C2/m (No. 12)
Inequivalent atoms, fractional coordinates:
Pa1 0.000 0.000 0.000 (multiplicity 2)
Mn1 0.000 0.000 0.500 (multiplicity 2)
Zn1 0.000 0.500 0.500 (multiplicity 2)
Zn2 0.110 0.392 0.217 (multiplicity 8)
Zn3 0.165 0.174 0.355 (multiplicity 8)
Zn4 0.250 0.250 0.000 (multiplicity 4)

Calculated values
**DFT total energy**: -0.1894 Ry per atom
**DFT formation energy**: -0.063 eV/atom
**Theoretical density**: 8.1 Mg/m³

=====

Entry 3:
Compound: Pa2MnZn
Source: Alexandria
Functional: PBE
Structure: optimized geometry

Lattice parameters (Å, degrees): 3.6032 3.6032 27.7148 90.00 90.00 120.00
Space group R-3m (No. 166, hexagonal axes)
Inequivalent atoms, fractional coordinates:
Pa1 0.0000 0.0000 0.1125 (multiplicity 6)
Mn1 0.0000 0.0000 0.5000 (multiplicity 3)
Zn1 0.0000 0.0000 0.0000 (multiplicity 3)

Calculated values
**DFT total energy**: -0.5041 Ry per atom
**DFT formation energy**: 0.500 eV/atom
**Theoretical density**: 9.3 Mg/m³

=====

Entry 4:
Compound: PaMnZn
Source: Alexandria
Functional: PBE
Structure: optimized geometry

Lattice parameters (Å, degrees): 4.5745 4.5745 3.0636 90.00 90.00 120.00
Space group P-6m2 (No. 187)
Inequivalent atoms, fractional coordinates:
Pa1 0.0000 0.0000 0.0000 (multiplicity 1)
Mn1 0.6667 0.3333 0.5000 (multiplicity 1)
Zn1 0.3333 0.6667 0.5000 (multiplicity 1)

Calculated values
**DFT total energy**: -0.4835 Ry per atom
**DFT formation energy**: 0.067 eV/atom
**Theoretical density**: 10.5 Mg/m³

=====

Entry 5:
Compound: Pa2MnZn
Source: Alexandria
Functional: PBE
Structure: optimized geometry

Lattice parameters (Å, degrees): 3.050 3.050 8.384 90.00 90.00 90.00
Space group P4/mmm (No. 123)
Inequivalent atoms, fractional coordinates:
Pa1 0.000 0.000 0.216 (multiplicity 2)
Mn1 0.500 0.500 0.000 (multiplicity 1)
Zn1 0.500 0.500 0.500 (multiplicity 1)

Calculated values
**DFT total energy**: -0.5422 Ry per atom
**DFT formation energy**: -0.019 eV/atom
**Theoretical density**: 12.4 Mg/m³

=====

Entry 6:
Compound: PaMnZn
Source: Alexandria
Functional: PBE
Structure: optimized geometry

Lattice parameters (Å, degrees): 10.252 4.625 4.611 90.00 104.58 90.00
Space group C2/m (No. 12)
Inequivalent atoms, fractional coordinates:
Pa1 0.129 0.000 0.318 (multiplicity 4)
Mn1 0.184 0.000 0.853 (multiplicity 4)
Zn1 0.078 0.500 0.789 (multiplicity 4)

Calculated values
**DFT total energy**: -0.5027 Ry per atom
**DFT formation energy**: -0.192 eV/atom
**Theoretical density**: 11.0 Mg/m³

=====

Entry 7:
Compound: Pa2MnZn
Source: Alexandria
Functional: PBE
Structure: optimized geometry

Lattice parameters (Å, degrees): 4.289 4.289 4.278 90.00 90.00 90.00
Space group P4/mmm (No. 123)
Inequivalent atoms, fractional coordinates:
Pa1 0.000 0.500 0.000 (multiplicity 2)
Mn1 0.000 0.000 0.500 (multiplicity 1)
Zn1 0.500 0.500 0.500 (multiplicity 1)

Calculated values
**DFT total energy**: -0.5347 Ry per atom
**DFT formation energy**: 0.084 eV/atom
**Theoretical density**: 12.3 Mg/m³

=====

Entry 8:
Compound: PaMnZn
Source: Alexandria
Functional: PBE
Structure: optimized geometry

Lattice parameters (Å, degrees): 4.854 4.524 4.918 90.00 96.75 90.00
Space group P2_1/m (No. 11)
Inequivalent atoms, fractional coordinates:
Pa1 0.102 0.250 0.290 (multiplicity 2)
Mn1 0.332 0.750 0.622 (multiplicity 2)
Zn1 0.498 0.250 0.853 (multiplicity 2)

Calculated values
**DFT total energy**: -0.4970 Ry per atom
**DFT formation energy**: -0.115 eV/atom
**Theoretical density**: 10.9 Mg/m³

=====

Entry 9:
Compound: Pa2MnZn16
Source: Alexandria
Functional: PBE
Structure: optimized geometry

Lattice parameters (Å, degrees): 8.9489 8.9489 13.1740 90.00 90.00 120.00
Space group R3m (No. 160, hexagonal axes)
Inequivalent atoms, fractional coordinates:
Pa1 0.0000 0.0000 0.0000 (multiplicity 3)
Pa2 0.0000 0.0000 0.3272 (multiplicity 3)
Mn1 0.0000 0.0000 0.5561 (multiplicity 3)
Zn1 0.0000 0.0000 0.7625 (multiplicity 3)
Zn2 0.0001 0.2910 0.6586 (multiplicity 18)
Zn3 0.0003 0.5002 0.1594 (multiplicity 9)
Zn4 0.0029 0.5014 0.8082 (multiplicity 9)
Zn5 0.1731 0.3462 0.8434 (multiplicity 9)

Calculated values
**DFT total energy**: -0.1944 Ry per atom
**DFT formation energy**: -0.090 eV/atom
**Theoretical density**: 8.5 Mg/m³

=====

Entry 10:
Compound: PaMnZn
Source: Alexandria
Functional: PBE
Structure: optimized geometry

Lattice parameters (Å, degrees): 3.521 3.521 9.049 90.00 90.00 90.00
Space group I4mm (No. 107)
Inequivalent atoms, fractional coordinates:
Pa1 0.000 0.000 0.000 (multiplicity 2)
Mn1 0.000 0.000 0.244 (multiplicity 2)
Zn1 0.000 0.000 0.682 (multiplicity 2)

Calculated values
**DFT total energy**: -0.4697 Ry per atom
**DFT formation energy**: 0.255 eV/atom
**Theoretical density**: 10.4 Mg/m³

=====

Entry 11:
Compound: PaMn2Zn
Source: Alexandria
Functional: PBE
Structure: optimized geometry

Lattice parameters (Å, degrees): 4.216 4.216 3.462 90.00 90.00 90.00
Space group P4/mmm (No. 123)
Inequivalent atoms, fractional coordinates:
Pa1 0.000 0.000 0.000 (multiplicity 1)
Mn1 0.000 0.500 0.500 (multiplicity 2)
Zn1 0.500 0.500 0.000 (multiplicity 1)

Calculated values
**DFT total energy**: -0.5341 Ry per atom
**DFT formation energy**: 0.010 eV/atom
**Theoretical density**: 11.0 Mg/m³

=====

Entry 12:
Compound: ZrPaMn
Source: Alexandria
Functional: PBE
Structure: optimized geometry

Lattice parameters (Å, degrees): 3.455 6.102 6.575 63.96 74.80 73.65
Space group P-1 (No. 2)
Inequivalent atoms, fractional coordinates:
Zr1 0.158 0.240 0.444 (multiplicity 2)
Pa1 0.129 0.754 0.989 (multiplicity 2)
Mn1 0.474 0.317 0.734 (multiplicity 2)

Calculated values
**DFT total energy**: -0.6659 Ry per atom
**DFT formation energy**: 0.011 eV/atom
**Theoretical density**: 10.6 Mg/m³

=====

Entry 13:
Compound: Zr2PaMn
Source: Alexandria
Functional: PBE
Structure: optimized geometry

Lattice parameters (Å, degrees): 6.582 9.035 5.725 90.00 90.00 90.00
Space group Pnma (No. 62)
Inequivalent atoms, fractional coordinates:
Zr1 0.171 0.060 0.168 (multiplicity 8)
Pa1 0.053 0.250 0.661 (multiplicity 4)
Mn1 0.137 0.750 0.975 (multiplicity 4)

Calculated values
**DFT total energy**: -0.6638 Ry per atom
**DFT formation energy**: -0.090 eV/atom
**Theoretical density**: 9.1 Mg/m³

=====

Entry 14:
Compound: ZrPaMn
Source: Alexandria
Functional: PBE
Structure: optimized geometry

Lattice parameters (Å, degrees): 4.685 4.685 5.792 90.00 90.00 90.00
Space group P4/nmm (No. 129, origin choice 2)
Inequivalent atoms, fractional coordinates:
Zr1 0.250 0.250 0.113 (multiplicity 2)
Pa1 0.250 0.750 0.500 (multiplicity 2)
Mn1 0.250 0.250 0.665 (multiplicity 2)

Calculated values
**DFT total energy**: -0.6520 Ry per atom
**DFT formation energy**: 0.200 eV/atom
**Theoretical density**: 9.9 Mg/m³

=====

Entry 15:
Compound: Zr2PaMn
Source: Alexandria
Functional: PBE
Structure: optimized geometry

Lattice parameters (Å, degrees): 3.1216 3.1216 29.7099 90.00 90.00 120.00
Space group R-3m (No. 166, hexagonal axes)
Inequivalent atoms, fractional coordinates:
Zr1 0.0000 0.0000 0.1022 (multiplicity 6)
Pa1 0.0000 0.0000 0.0000 (multiplicity 3)
Mn1 0.0000 0.0000 0.5000 (multiplicity 3)

Calculated values
**DFT total energy**: -0.6324 Ry per atom
**DFT formation energy**: 0.336 eV/atom
**Theoretical density**: 9.3 Mg/m³

=====

Entry 16:
Compound: Zr2PaMn2
Source: Alexandria
Functional: PBE
Structure: optimized geometry

Lattice parameters (Å, degrees): 4.1111 4.1111 23.5470 90.00 90.00 120.00
Space group R-3m (No. 166, hexagonal axes)
Inequivalent atoms, fractional coordinates:
Zr1 0.0000 0.0000 0.0731 (multiplicity 6)
Pa1 0.0000 0.0000 0.5000 (multiplicity 3)
Mn1 0.0000 0.0000 0.2014 (multiplicity 6)

Calculated values
**DFT total energy**: -0.6372 Ry per atom
**DFT formation energy**: 0.316 eV/atom
**Theoretical density**: 7.6 Mg/m³

=====

Entry 17:
Compound: Zr2Pa3Mn2
Source: Alexandria
Functional: PBE
Structure: optimized geometry

Lattice parameters (Å, degrees): 10.385 3.956 7.770 90.00 113.96 90.00
Space group C2/m (No. 12)
Inequivalent atoms, fractional coordinates:
Zr1 0.157 0.000 0.305 (multiplicity 4)
Pa1 0.000 0.500 0.500 (multiplicity 2)
Pa2 0.146 0.500 0.949 (multiplicity 4)
Mn1 0.121 0.000 0.667 (multiplicity 4)

Calculated values
**DFT total energy**: -0.6732 Ry per atom
**DFT formation energy**: -0.028 eV/atom
**Theoretical density**: 11.2 Mg/m³

=====

Entry 18:
Compound: ZrPa2Mn9
Source: Alexandria
Functional: PBE
Structure: optimized geometry

Lattice parameters (Å, degrees): 4.8007 4.8007 25.3840 90.00 90.00 120.00
Space group R-3m (No. 166, hexagonal axes)
Inequivalent atoms, fractional coordinates:
Zr1 0.0000 0.0000 0.0000 (multiplicity 3)
Pa1 0.0000 0.0000 0.1448 (multiplicity 6)
Mn1 0.0000 0.0000 0.3369 (multiplicity 6)
Mn2 0.0000 0.0000 0.5000 (multiplicity 3)
Mn3 0.0056 0.5028 0.9215 (multiplicity 18)

Calculated values
**DFT total energy**: -0.6764 Ry per atom
**DFT formation energy**: -0.030 eV/atom
**Theoretical density**: 10.3 Mg/m³

=====

Entry 19:
Compound: Zr3PaMn
Source: Alexandria
Functional: PBE
Structure: optimized geometry

Lattice parameters (Å, degrees): 5.972 12.068 3.243 90.00 109.16 90.00
Space group C2 (No. 5)
Inequivalent atoms, fractional coordinates:
Zr1 0.000 0.000 0.000 (multiplicity 2)
Zr2 0.236 0.315 0.321 (multiplicity 4)
Pa1 0.000 0.602 0.000 (multiplicity 2)
Mn1 0.000 0.162 0.500 (multiplicity 2)

Calculated values
**DFT total energy**: -0.6323 Ry per atom
**DFT formation energy**: 0.259 eV/atom
**Theoretical density**: 8.4 Mg/m³

=====

Entry 20:
Compound: Zr3PaMn8
Source: Alexandria
Functional: PBE
Structure: optimized geometry

Lattice parameters (Å, degrees): 5.0913 5.0913 23.9083 90.00 90.00 120.00
Space group R3m (No. 160, hexagonal axes)
Inequivalent atoms, fractional coordinates:
Zr1 0.0000 0.0000 0.0000 (multiplicity 3)
Zr2 0.0000 0.0000 0.1252 (multiplicity 3)
Zr3 0.0000 0.0000 0.4995 (multiplicity 3)
Pa1 0.0000 0.0000 0.6273 (multiplicity 3)
Mn1 0.0000 0.0000 0.3117 (multiplicity 3)
Mn2 0.0000 0.0000 0.8123 (multiplicity 3)
Mn3 0.0036 0.5018 0.0641 (multiplicity 9)
Mn4 0.1675 0.3349 0.8944 (multiplicity 9)

Calculated values
**DFT total energy**: -0.6732 Ry per atom
**DFT formation energy**: -0.118 eV/atom
**Theoretical density**: 8.8 Mg/m³